No. 1
This record from Alexandria via LeMat-Bulk describes crystalline ReSi2Br at its relaxed geometry. The functional is PBE-GGA.

The raw formation energy comes out at 0.45 eV/atom.

The space group is Pm (No. 6) and the conventional cell measures 3.869, 3.818 and 5.864 Å, with angles of 90.00, 90.02 and 90.00 degrees. The asymmetric unit holds Re at (0.000, 0.000, 0.000), Si at (0.089, 0.500, 0.768), Si at (0.508, 0.000, 0.770) and Br at (0.931, 0.500, 0.322).


No. 2
This record from Alexandria via LeMat-Bulk describes crystalline ReSi2Br at its relaxed geometry. The functional is PBE-GGA.

The raw formation energy comes out at 0.37 eV/atom.

The space group is Imm2 (No. 44) and the conventional cell measures 3.137, 3.238 and 15.410 Å, with angles of 90.00, 90.00 and 90.00 degrees. The asymmetric unit holds Re at (0.000, 0.000, 0.000), Si at (0.000, 0.000, 0.569), Si at (0.000, 0.500, 0.880) and Br at (0.000, 0.500, 0.201).


No. 3
This record from Alexandria via LeMat-Bulk describes crystalline ReSi2Br at its relaxed geometry. The functional is PBE-GGA.

The raw formation energy comes out at 0.67 eV/atom.

The space group is I-42d (No. 122) and the conventional cell measures 5.910, 5.910 and 11.497 Å, with angles of 90.00, 90.00 and 90.00 degrees. The asymmetric unit holds Re at (0.000, 0.000, 0.000), Si at (0.177, 0.250, 0.125) and Br at (0.000, 0.000, 0.500).


Number 1: total energy -23.15 eV/f.u., theoretical density 6.178 Mg/m³. Number 2: total energy -23.49 eV/f.u., theoretical density 6.837 Mg/m³. Number 3: total energy -22.30 eV/f.u., theoretical density 5.331 Mg/m³.